(1)
Material: Ti6Al2V
Method: DFT, PBE
State: optimized geometry

Computed properties:
The value obtained for the calculated volume is 15.97 A^3/atom. The calculation puts the formation energy from the elements at -0.1074 eV per atom. The spin magnetization comes out at 0.001 μB/f.u.

a b c (Å): 5.2637 7.7953 5.2639
angles (deg): 137.76 95.51 89.99
Closest atoms and distances in Å follow each position.
Fractional coordinates of all 9 atoms:
Ti1 0.1638 0.8358 0.3359  5 Ti 2.56-2.73
Ti2 0.4999 0.8362 0.0002  5 Ti 2.56-2.73
Ti3 0.8362 0.1642 0.6641  5 Ti 2.56-2.73
Ti4 0.8363 0.5000 0.6642  5 Ti 2.56-2.73
Ti5 0.1637 0.5000 0.3358  5 Ti 2.56-2.73
Ti6 0.5001 0.1638 0.9998  5 Ti 2.56-2.73
V1 0.0000 0.0000 0.0000  2 Al 2.71, 12 Ti 2.92-2.93
Al1 0.3303 0.3301 0.6603  1 V 2.71, 1 Al 2.78, 12 Ti 2.91-2.97
Al2 0.6697 0.6699 0.3397  1 V 2.71, 1 Al 2.78, 12 Ti 2.91-2.97

---

(2)
Material: TiAl2V3
Method: DFT, PBE
State: optimized geometry

Computed properties:
The value obtained for the calculated volume is 14.79 A^3/atom. The calculation puts the formation energy from the elements at -0.1676 eV per atom. The spin magnetization comes out at 0.084 μB/f.u.

a b c (Å): 4.4969 4.4967 9.8609
angles (deg): 117.13 90.00 90.01
Closest atoms and distances in Å follow each position.
Fractional coordinates of all 12 atoms:
V1 0.7517 0.5796 0.8283  2 V 2.57, 2 Ti 2.61, 4 Al 2.70-2.71
V2 0.2483 0.4204 0.1717  2 V 2.57, 2 Ti 2.61, 4 Al 2.70-2.71
V3 0.7514 0.9236 0.1720  2 V 2.57, 2 Ti 2.60, 5 Al 2.70-2.88
V4 0.2486 0.0764 0.8280  2 V 2.57, 2 Ti 2.60, 5 Al 2.70-2.88
V5 0.7489 0.9367 0.6856  4 V 2.57, 5 Al 2.75-2.78
V6 0.2511 0.0633 0.3144  4 V 2.57, 5 Al 2.75-2.78
Ti1 0.7483 0.5733 0.3217  4 V 2.60-2.61, 5 Al 2.74-2.83
Ti2 0.2517 0.4267 0.6783  4 V 2.60-2.61, 5 Al 2.74-2.83
Al1 0.2484 0.7485 0.5001  4 Ti 2.74, 6 V 2.77-2.88
Al2 0.2521 0.7492 0.0012  9 V 2.70-2.75, 1 Ti 2.83
Al3 0.7516 0.2515 0.4999  4 Ti 2.74, 6 V 2.77-2.88
Al4 0.7479 0.2508 0.9988  9 V 2.70-2.75, 1 Ti 2.83